one | Here is crystalline LiNbPb at its relaxed geometry from OQMD via LeMat-Bulk. Energies are from PBE.

POSCAR file:
```
LiNbPb
1.0
0.000 3.313 3.313
3.313 0.000 3.313
3.313 3.313 0.000
Li Nb Pb
1 1 1
direct
0.000 0.000 0.000
0.750 0.750 0.750
0.500 0.500 0.500
```

two | Here is crystalline LiNbPb at its relaxed geometry from OQMD via LeMat-Bulk. Energies are from PBE.

POSCAR file:
```
LiNbPb
1.0
0.000 3.297 3.297
3.297 0.000 3.297
3.297 3.297 0.000
Li Nb Pb
1 1 1
direct
0.250 0.250 0.250
0.750 0.750 0.750
0.000 0.000 0.000
```

The structures above, arranged from the most stable to the least stable: two, one.